<A>
DFT (PBE) results for a relaxed structure of ScSiPb3.

Summary:
space group: Pm-3m
crystal system: cubic

Lattice parameters (Å, degrees): 5.560 5.560 5.560 90.00 90.00 90.00
Fractional positions:
Sc 0.000 0.000 0.000
Si 0.500 0.500 0.500
Pb 0.000 0.000 0.500
Pb 0.000 0.500 0.000
Pb 0.500 0.000 0.000

---

<B>
DFT (PBE) results for a relaxed structure of ScSiPb3.

Summary:
space group: Pm-3m
crystal system: cubic

Lattice parameters (Å, degrees): 5.366 5.366 5.366 90.00 90.00 90.00
Fractional positions:
Sc 0.000 0.000 0.000
Si 0.500 0.500 0.500
Pb 0.000 0.500 0.500
Pb 0.500 0.000 0.500
Pb 0.500 0.500 0.000

---

Which one sits at the top of the stability order? <B> does.

---

<A>
DFT (PBE) results for a relaxed structure of Sc2Sn2Pb.

Summary:
space group: P4/mbm
crystal system: tetragonal

Lattice parameters (Å, degrees): 8.778 8.778 3.346 90.00 90.00 90.00
Fractional positions:
Sc 0.138 0.362 0.000
Sc 0.362 0.862 0.000
Sc 0.638 0.138 0.000
Sc 0.862 0.638 0.000
Sn 0.157 0.657 0.500
Sn 0.343 0.157 0.500
Sn 0.657 0.843 0.500
Sn 0.843 0.343 0.500
Pb 0.000 0.000 0.500
Pb 0.500 0.500 0.500

---

<B>
DFT (PBE) results for a relaxed structure of Sc2Sn2Pb.

Summary:
space group: P4/mbm
crystal system: tetragonal

Lattice parameters (Å, degrees): 7.697 7.697 4.299 90.00 90.00 90.00
Fractional positions:
Sc 0.163 0.337 0.000
Sc 0.337 0.837 0.000
Sc 0.663 0.163 0.000
Sc 0.837 0.663 0.000
Sn 0.139 0.639 0.500
Sn 0.361 0.139 0.500
Sn 0.639 0.861 0.500
Sn 0.861 0.361 0.500
Pb 0.000 0.000 0.000
Pb 0.500 0.500 0.000

---

Which one sits at the top of the stability order? <A> does.

---

<A>
DFT (PBE) results for a relaxed structure of Sc2SnPb.

Summary:
space group: P4/mmm
crystal system: tetragonal

Lattice parameters (Å, degrees): 4.703 4.703 4.285 90.00 90.00 90.00
Fractional positions:
Sc 0.000 0.500 0.000
Sc 0.500 0.000 0.000
Sn 0.000 0.000 0.500
Pb 0.500 0.500 0.500

---

<B>
DFT (PBE) results for a relaxed structure of Sc2SnPb.

Summary:
space group: R-3m
crystal system: trigonal

Lattice parameters (Å, degrees): 11.124 11.124 11.124 17.34 17.34 17.34
Fractional positions:
Sc 0.089 0.089 0.089
Sc 0.911 0.911 0.911
Sn 0.000 0.000 0.000
Pb 0.500 0.500 0.500

---

Which one sits at the top of the stability order? <A> does.

---

<A>
DFT (PBE) results for a relaxed structure of Sc2SnPb.

Summary:
space group: R-3m
crystal system: trigonal

Lattice parameters (Å, degrees): 10.965 10.965 10.965 17.65 17.65 17.65
Fractional positions:
Sc 0.092 0.092 0.092
Sc 0.908 0.908 0.908
Sn 0.500 0.500 0.500
Pb 0.000 0.000 0.000

---

<B>
DFT (PBE) results for a relaxed structure of Sc2SnPb.

Summary:
space group: P4/mmm
crystal system: tetragonal

Lattice parameters (Å, degrees): 3.327 3.327 8.579 90.00 90.00 90.00
Fractional positions:
Sc 0.000 0.000 0.239
Sc 0.000 0.000 0.761
Sn 0.500 0.500 0.000
Pb 0.500 0.500 0.500

---

<C>
DFT (PBE) results for a relaxed structure of Sc2SnPb.

Summary:
space group: R3m
crystal system: trigonal

Lattice parameters (Å, degrees): 6.610 6.610 6.610 40.27 40.27 40.27
Fractional positions:
Sc 0.000 0.000 0.000
Sc 0.183 0.183 0.183
Sn 0.591 0.591 0.591
Pb 0.421 0.421 0.421

---

Which one sits at the top of the stability order? <B> does.

---

<A>
DFT (PBE) results for a relaxed structure of Sc2SnPb.

Summary:
space group: Fm-3m
crystal system: cubic

Lattice parameters (Å, degrees): 5.148 5.148 5.148 60.00 60.00 60.00
Fractional positions:
Sc 0.250 0.250 0.250
Sc 0.750 0.750 0.750
Sn 0.000 0.000 0.000
Pb 0.500 0.500 0.500

---

<B>
DFT (PBE) results for a relaxed structure of Sc2SnPb.

Summary:
space group: I-42d
crystal system: tetragonal

Lattice parameters (Å, degrees): 6.503 6.503 6.503 104.90 104.90 119.07
Fractional positions:
Sc 0.121 0.625 0.996
Sc 0.375 0.371 0.496
Sc 0.629 0.125 0.004
Sc 0.875 0.879 0.504
Sn 0.000 0.000 0.000
Sn 0.750 0.250 0.500
Pb 0.250 0.750 0.500
Pb 0.500 0.500 0.000

---

Which one sits at the top of the stability order? <A> does.

---

<A>
DFT (PBE) results for a relaxed structure of ScSn2Pb2.

Summary:
space group: P4/mbm
crystal system: tetragonal

Lattice parameters (Å, degrees): 7.972 7.972 4.536 90.00 90.00 90.00
Fractional positions:
Sc 0.000 0.000 0.000
Sc 0.500 0.500 0.000
Sn 0.151 0.349 0.500
Sn 0.349 0.849 0.500
Sn 0.651 0.151 0.500
Sn 0.849 0.651 0.500
Pb 0.149 0.649 0.000
Pb 0.351 0.149 0.000
Pb 0.649 0.851 0.000
Pb 0.851 0.351 0.000

---

<B>
DFT (PBE) results for a relaxed structure of ScSn2Pb2.

Summary:
space group: P4/mbm
crystal system: tetragonal

Lattice parameters (Å, degrees): 7.722 7.722 4.856 90.00 90.00 90.00
Fractional positions:
Sc 0.000 0.000 0.000
Sc 0.500 0.500 0.000
Sn 0.135 0.365 0.000
Sn 0.365 0.865 0.000
Sn 0.635 0.135 0.000
Sn 0.865 0.635 0.000
Pb 0.173 0.673 0.500
Pb 0.327 0.173 0.500
Pb 0.673 0.827 0.500
Pb 0.827 0.327 0.500

---

Which one sits at the top of the stability order? <B> does.